CuHgSe2 | GGA-PBE | optimized geometry

a = 3.7005 Å, b = 4.9438 Å, c = 6.3515 Å
α = 61.46°, β = 90.00°, γ = 90.00°
Last column: nearest neighbours and their distance in Å.
Positions (direct):
Cu1 0.5000 0.2500 0.2500  4 Se 2.45
Hg1 0.5000 0.7500 0.7500  2 Cu 2.95
Se1 0.0000 0.0239 0.1331  1 Se 2.39, 2 Cu 2.45
Se2 0.0000 0.4761 0.3669  1 Se 2.39, 2 Cu 2.45

Results
**Crystal system**: monoclinic
**V**: 102.1 Å³ per cell
**Energy relative to the elements, uncorrected**: -46 meV/atom
**SG**: P2/m
**D(E_F)**: 0.339 states/eV per atom

---

CuTcPt6 | GGA-PBE | optimized geometry

a = 3.9406 Å, b = 3.9406 Å, c = 7.7787 Å
α = 90.00°, β = 90.00°, γ = 90.00°
Last column: nearest neighbours and their distance in Å.
Positions (direct):
Cu1 0.0000 0.0000 0.0000  12 Pt 2.77-2.79
Tc1 0.0000 0.0000 0.5000  12 Pt 2.76-2.79
Pt1 0.5000 0.5000 0.0000  8 Pt 2.77, 4 Cu 2.79
Pt2 0.5000 0.5000 0.5000  8 Pt 2.76, 4 Tc 2.79
Pt3 0.5000 0.0000 0.2512  2 Tc 2.76, 8 Pt 2.76-2.79, 2 Cu 2.77
Pt4 0.5000 0.0000 0.7488  2 Tc 2.76, 8 Pt 2.76-2.79, 2 Cu 2.77
Pt5 0.0000 0.5000 0.2512  2 Tc 2.76, 8 Pt 2.76-2.79, 2 Cu 2.77
Pt6 0.0000 0.5000 0.7488  2 Tc 2.76, 8 Pt 2.76-2.79, 2 Cu 2.77

Results
**Formation energy**: -0.993 eV per formula unit
**Crystal system**: tetragonal
**V**: 120.8 Å³ per cell
**SG**: P4/mmm
**D(E_F)**: 1.152 states/eV per atom

---

SrMnSeBr2 | GGA-PBE | optimized geometry

a = 5.7374 Å, b = 5.7374 Å, c = 6.0954 Å
α = 90.00°, β = 90.00°, γ = 90.00°
Last column: nearest neighbours and their distance in Å.
Positions (direct):
Sr1 0.0000 0.0000 0.0000  4 Br 2.87, 2 Se 3.05
Mn1 0.5000 0.5000 0.5000  4 Se 4.06, 8 Br 4.19
Se1 0.0000 0.0000 0.5000  2 Sr 3.05
Br1 0.0000 0.5000 0.0000  2 Sr 2.87
Br2 0.5000 0.0000 0.0000  2 Sr 2.87

Results
**Crystal system**: tetragonal
**V**: 200.6 Å³ per cell
**Energy relative to the elements, uncorrected**: -370 meV/atom
**SG**: P4/mmm
**D(E_F)**: 0.723 states/eV per atom

---

The records above give, respectively, electronic total energy values of -2.89, -6.46, -3.91 eV/atom.
The records above give, respectively, total moment values of 0.00, 0.00, 1.03 μB per atom.